Record 1
Below is crystalline ScMoSeN2 at its relaxed geometry, with properties calculated at the PBE level.

a b c (Å): 4.107 4.107 5.219
angles (deg): 90.00 90.00 90.00
Each line ends with the local moment (μB).
Fractional positions:
Mo  0.500  0.500  0.500  3.14
N  0.500  0.000  0.000  -0.69
Se  0.000  0.000  0.500  -0.14
Sc  0.000  0.000  0.000  0.01
N  0.000  0.500  0.000  -0.69

Properties
Size of the total moment   0.30 μB per atom
Offset from the most stable computed form   1056.5 meV/atom

Record 2
Below is crystalline KMo3P at its relaxed geometry, with properties calculated at the PBE level.

a b c (Å): 4.524 4.524 4.524
angles (deg): 90.00 90.00 90.00
Fractional positions:
Mo  0.500  0.000  0.000
K  0.000  0.000  0.000
Mo  0.000  0.000  0.500
Mo  0.000  0.500  0.000
P  0.500  0.500  0.500

Properties
Size of the total moment   0.00 μB per atom
Offset from the most stable computed form   2145.3 meV/atom

Record 3
Below is crystalline Tb6DyY3 at its relaxed geometry, with properties calculated at the PBE level.

a b c (Å): 8.935 9.033 9.033
angles (deg): 117.06 90.00 90.00
Fractional positions:
Dy  0.532  0.779  0.221
Tb  0.098  0.306  0.186
Dy  0.032  0.221  0.779
Y  0.926  0.027  0.324
Tb  0.666  0.281  0.719
Tb  0.771  0.822  0.529
Tb  0.598  0.694  0.814
Y  0.413  0.550  0.450
Tb  0.271  0.178  0.471
Y  0.926  0.676  0.973
Tb  0.598  0.186  0.306
Y  0.426  0.324  0.027
Y  0.913  0.450  0.550
Tb  0.271  0.529  0.822
Tb  0.098  0.814  0.694
Tb  0.784  0.053  0.947
Tb  0.771  0.471  0.178
Y  0.426  0.973  0.676
Tb  0.284  0.947  0.053
Tb  0.166  0.719  0.281

Properties
Size of the total moment   0.00 μB per atom
Offset from the most stable computed form   0.0 meV/atom

Record 4
Below is crystalline SrTmCdHg at its relaxed geometry, with properties calculated at the PBE level.

a b c (Å): 5.434 5.434 5.434
angles (deg): 60.00 60.00 60.00
Fractional positions:
Tm  0.000  0.000  0.000
Cd  0.750  0.750  0.750
Sr  0.500  0.500  0.500
Hg  0.250  0.250  0.250

Properties
Size of the total moment   0.00 μB per atom
Electronic total energy   -2.183 eV/atom

Record 5
Below is crystalline LiZnN2O at its relaxed geometry, with properties calculated at the PBE level.

a b c (Å): 3.529 3.529 3.953
angles (deg): 90.00 90.00 90.00
Each line ends with the local moment (μB).
Fractional positions:
Zn  0.500  0.500  0.500  -0.03
O  0.000  0.000  0.500  0.71
Li  0.000  0.000  0.000  0.02
N  0.500  0.000  0.000  0.64
N  0.000  0.500  0.000  0.64

Properties
Size of the total moment   0.50 μB per atom
Electronic total energy   -3.589 eV/atom

Record 6
Below is crystalline RbNbNi3 at its relaxed geometry, with properties calculated at the PBE level.

a b c (Å): 4.562 4.562 4.562
angles (deg): 90.00 90.00 90.00
Each line ends with the local moment (μB).
Fractional positions:
Rb  0.000  0.000  0.000  0.04
Ni  0.000  0.500  0.000  0.18
Nb  0.500  0.500  0.500  1.69
Ni  0.000  0.000  0.500  0.21
Ni  0.500  0.000  0.000  0.27

Properties
Size of the total moment   0.59 μB per atom
Offset from the most stable computed form   1232.5 meV/atom